#P
Compound: UTl3Te3
Source: Alexandria via LeMat-Bulk
Functional: PBE-GGA
Structure: relaxed

Summary:
- Magnetization: 0.000 μB/cell

a b c (Å): 7.682 7.682 9.925
angles (deg): 99.53 99.53 110.51
Fractional positions:
U (0.101, 0.101, 0.110)
U (0.899, 0.899, 0.890)
Tl (0.149, 0.851, 0.500)
Tl (0.287, 0.713, 0.000)
Tl (0.404, 0.404, 0.617)
Tl (0.596, 0.596, 0.383)
Tl (0.713, 0.287, 0.000)
Tl (0.851, 0.149, 0.500)
Te (0.119, 0.459, 0.289)
Te (0.229, 0.229, 0.866)
Te (0.459, 0.119, 0.289)
Te (0.541, 0.881, 0.711)
Te (0.771, 0.771, 0.134)
Te (0.881, 0.541, 0.711)

#Q
Compound: UTl3Te3
Source: Alexandria via LeMat-Bulk
Functional: PBE-GGA
Structure: relaxed

Summary:
- Magnetization: 5.736 μB/cell

a b c (Å): 9.557 4.485 13.054
angles (deg): 90.00 99.21 90.00
Fractional positions:
U (0.140, 0.250, 0.132)
U (0.860, 0.750, 0.868)
Tl (0.101, 0.250, 0.637)
Tl (0.357, 0.750, 0.880)
Tl (0.400, 0.750, 0.389)
Tl (0.600, 0.250, 0.611)
Tl (0.643, 0.250, 0.120)
Tl (0.899, 0.750, 0.363)
Te (0.090, 0.250, 0.890)
Te (0.151, 0.250, 0.372)
Te (0.369, 0.750, 0.137)
Te (0.631, 0.250, 0.863)
Te (0.849, 0.750, 0.628)
Te (0.910, 0.750, 0.110)

Least stable structure: #P

#P
Compound: UTl2Te3
Source: Alexandria via LeMat-Bulk
Functional: PBE-GGA
Structure: relaxed

Summary:
- Magnetization: 4.000 μB/cell

a b c (Å): 7.929 7.929 8.451
angles (deg): 98.90 98.90 119.36
Fractional positions:
U (0.169, 0.831, 0.000)
U (0.831, 0.169, 0.000)
Tl (0.000, 0.000, 0.500)
Tl (0.345, 0.655, 0.500)
Tl (0.500, 0.500, 0.000)
Tl (0.655, 0.345, 0.500)
Te (0.059, 0.425, 0.778)
Te (0.205, 0.205, 0.209)
Te (0.425, 0.059, 0.778)
Te (0.575, 0.941, 0.222)
Te (0.795, 0.795, 0.791)
Te (0.941, 0.575, 0.222)

#Q
Compound: UTl2Te3
Source: Alexandria via LeMat-Bulk
Functional: PBE-GGA
Structure: relaxed

Summary:
- Magnetization: 3.999 μB/cell

a b c (Å): 8.057 8.057 7.729
angles (deg): 100.56 100.56 114.02
Fractional positions:
U (0.094, 0.906, 0.750)
U (0.906, 0.094, 0.250)
Tl (0.265, 0.735, 0.250)
Tl (0.424, 0.576, 0.750)
Tl (0.576, 0.424, 0.250)
Tl (0.735, 0.265, 0.750)
Te (0.000, 0.500, 0.500)
Te (0.126, 0.270, 0.993)
Te (0.270, 0.126, 0.493)
Te (0.500, 0.000, 0.000)
Te (0.730, 0.874, 0.507)
Te (0.874, 0.730, 0.007)

Least stable structure: #Q

#P
Compound: TlVTe3
Source: Alexandria via LeMat-Bulk
Functional: PBE-GGA
Structure: relaxed

Summary:
- Magnetization: 0.000 μB/cell

a b c (Å): 8.733 4.143 8.940
angles (deg): 90.00 104.66 90.00
Fractional positions:
Tl (0.130, 0.250, 0.305)
Tl (0.870, 0.750, 0.695)
V (0.419, 0.250, 0.928)
V (0.581, 0.750, 0.072)
Te (0.160, 0.250, 0.678)
Te (0.251, 0.750, 0.018)
Te (0.484, 0.750, 0.749)
Te (0.516, 0.250, 0.251)
Te (0.749, 0.250, 0.982)
Te (0.840, 0.750, 0.322)

#Q
Compound: TlVTe3
Source: Alexandria via LeMat-Bulk
Functional: PBE-GGA
Structure: relaxed

Summary:
- Magnetization: 1.131 μB/cell

a b c (Å): 5.356 5.356 5.356
angles (deg): 90.00 90.00 90.00
Fractional positions:
Tl (0.000, 0.000, 0.000)
V (0.500, 0.500, 0.500)
Te (0.000, 0.500, 0.500)
Te (0.500, 0.000, 0.500)
Te (0.500, 0.500, 0.000)

Least stable structure: #Q

#P
Compound: Tl2VTe
Source: Alexandria via LeMat-Bulk
Functional: PBE-GGA
Structure: relaxed

Summary:
- Magnetization: 6.644 μB/cell

a b c (Å): 12.423 12.423 12.423
angles (deg): 160.13 160.13 28.24
Fractional positions:
Tl (0.125, 0.625, 0.000)
Tl (0.375, 0.375, 0.500)
Tl (0.625, 0.125, 0.000)
Tl (0.875, 0.875, 0.500)
V (0.000, 0.000, 0.000)
V (0.750, 0.250, 0.500)
Te (0.250, 0.750, 0.500)
Te (0.500, 0.500, 0.000)

#Q
Compound: Tl2VTe
Source: Alexandria via LeMat-Bulk
Functional: PBE-GGA
Structure: relaxed

Summary:
- Magnetization: 4.144 μB/cell

a b c (Å): 5.379 5.379 5.379
angles (deg): 60.00 60.00 60.00
Fractional positions:
Tl (0.250, 0.250, 0.250)
Tl (0.750, 0.750, 0.750)
V (0.000, 0.000, 0.000)
Te (0.500, 0.500, 0.500)

Least stable structure: #Q

#P
Compound: TlTeW2
Source: Alexandria via LeMat-Bulk
Functional: PBE-GGA
Structure: relaxed

Summary:
- Magnetization: 0.000 μB/cell

a b c (Å): 3.028 3.028 10.554
angles (deg): 90.00 90.00 112.70
Fractional positions:
Tl (0.000, 0.000, 0.000)
Te (0.500, 0.500, 0.664)
W (0.000, 0.000, 0.437)
W (0.500, 0.500, 0.254)

#Q
Compound: TlTeW2
Source: Alexandria via LeMat-Bulk
Functional: PBE-GGA
Structure: relaxed

Summary:
- Magnetization: 0.000 μB/cell

a b c (Å): 9.243 9.243 9.243
angles (deg): 19.53 19.53 19.53
Fractional positions:
Tl (0.000, 0.000, 0.000)
Te (0.500, 0.500, 0.500)
W (0.245, 0.245, 0.245)
W (0.755, 0.755, 0.755)

#R
Compound: TlTeW2
Source: Alexandria via LeMat-Bulk
Functional: PBE-GGA
Structure: relaxed

Summary:
- Magnetization: 0.000 μB/cell

a b c (Å): 3.307 3.307 6.994
angles (deg): 90.00 90.00 90.00
Fractional positions:
Tl (0.000, 0.000, 0.000)
Te (0.000, 0.000, 0.500)
W (0.500, 0.500, 0.280)
W (0.500, 0.500, 0.720)

Least stable structure: #R

#P
Compound: TlTeW2
Source: Alexandria via LeMat-Bulk
Functional: PBE-GGA
Structure: relaxed

Summary:
- Magnetization: 0.000 μB/cell

a b c (Å): 4.503 4.503 7.560
angles (deg): 96.33 96.33 42.16
Fractional positions:
Tl (0.000, 0.000, 0.000)
Te (0.219, 0.219, 0.583)
W (0.480, 0.480, 0.388)
W (0.759, 0.759, 0.259)

#Q
Compound: TlTeW2
Source: Alexandria via LeMat-Bulk
Functional: PBE-GGA
Structure: relaxed

Summary:
- Magnetization: 0.000 μB/cell

a b c (Å): 4.819 4.819 4.819
angles (deg): 60.00 60.00 60.00
Fractional positions:
Tl (0.000, 0.000, 0.000)
Te (0.250, 0.250, 0.250)
W (0.500, 0.500, 0.500)
W (0.750, 0.750, 0.750)

Least stable structure: #Q

#P
Compound: TlTeW2
Source: Alexandria via LeMat-Bulk
Functional: PBE-GGA
Structure: relaxed

Summary:
- Magnetization: 0.000 μB/cell

a b c (Å): 3.374 4.700 5.025
angles (deg): 90.00 90.00 90.00
Fractional positions:
Tl (0.000, 0.000, 0.000)
Te (0.500, 0.000, 0.500)
W (0.000, 0.500, 0.500)
W (0.500, 0.500, 0.000)

#Q
Compound: TlTeW2
Source: Alexandria via LeMat-Bulk
Functional: PBE-GGA
Structure: relaxed

Summary:
- Magnetization: 0.000 μB/cell

a b c (Å): 3.268 3.268 8.420
angles (deg): 90.00 90.00 90.00
Fractional positions:
Tl (0.000, 0.000, 0.000)
Te (0.500, 0.500, 0.619)
W (0.000, 0.000, 0.413)
W (0.500, 0.500, 0.249)

Least stable structure: #P

#P
Compound: TlTeW2
Source: Alexandria via LeMat-Bulk
Functional: PBE-GGA
Structure: relaxed

Summary:
- Magnetization: 0.000 μB/cell

a b c (Å): 9.576 9.576 9.576
angles (deg): 20.11 20.11 20.11
Fractional positions:
Tl (0.000, 0.000, 0.000)
Te (0.776, 0.776, 0.776)
W (0.245, 0.245, 0.245)
W (0.519, 0.519, 0.519)

#Q
Compound: TlTeW2
Source: Alexandria via LeMat-Bulk
Functional: PBE-GGA
Structure: relaxed

Summary:
- Magnetization: 0.000 μB/cell

a b c (Å): 3.281 4.155 7.488
angles (deg): 90.00 90.09 90.00
Fractional positions:
Tl (0.000, 0.000, 0.000)
Te (0.503, 0.500, 0.620)
W (0.002, 0.500, 0.326)
W (0.502, 0.000, 0.354)

#R
Compound: TlTeW2
Source: Alexandria via LeMat-Bulk
Functional: PBE-GGA
Structure: relaxed

Summary:
- Magnetization: 0.000 μB/cell

a b c (Å): 5.267 5.267 6.649
angles (deg): 113.94 113.94 36.18
Fractional positions:
Tl (0.000, 0.000, 0.000)
Te (0.500, 0.500, 0.500)
W (0.260, 0.260, 0.646)
W (0.740, 0.740, 0.354)

#S
Compound: TlTeW2
Source: Alexandria via LeMat-Bulk
Functional: PBE-GGA
Structure: relaxed

Summary:
- Magnetization: 0.000 μB/cell

a b c (Å): 5.486 5.486 3.125
angles (deg): 102.07 102.07 114.07
Fractional positions:
Tl (0.000, 0.000, 0.000)
Te (0.500, 0.500, 0.000)
W (0.000, 0.500, 0.500)
W (0.500, 0.000, 0.500)

Least stable structure: #S

#P
Compound: TlTeW
Source: Alexandria via LeMat-Bulk
Functional: PBE-GGA
Structure: relaxed

Summary:
- Magnetization: 0.000 μB/cell

a b c (Å): 3.386 3.386 7.126
angles (deg): 90.00 90.00 120.00
Fractional positions:
Tl (0.000, 0.000, 0.000)
Te (0.667, 0.333, 0.582)
W (0.333, 0.667, 0.323)

#Q
Compound: TlTeW
Source: Alexandria via LeMat-Bulk
Functional: PBE-GGA
Structure: relaxed

Summary:
- Magnetization: 0.000 μB/cell

a b c (Å): 5.052 5.052 2.988
angles (deg): 90.00 90.00 120.00
Fractional positions:
Tl (0.000, 0.000, 0.000)
Te (0.667, 0.333, 0.500)
W (0.333, 0.667, 0.500)

#R
Compound: TlTeW
Source: Alexandria via LeMat-Bulk
Functional: PBE-GGA
Structure: relaxed

Summary:
- Magnetization: 0.000 μB/cell

a b c (Å): 8.772 8.554 3.089
angles (deg): 83.74 75.77 20.49
Fractional positions:
Tl (0.000, 0.000, 0.000)
Te (0.283, 0.283, 0.717)
W (0.655, 0.655, 0.345)

Least stable structure: #Q

#P
Compound: Tl2TeW
Source: Alexandria via LeMat-Bulk
Functional: PBE-GGA
Structure: relaxed

Summary:
- Magnetization: 0.002 μB/cell

a b c (Å): 3.309 3.309 9.358
angles (deg): 90.00 90.02 90.00
Fractional positions:
Tl (0.000, 0.000, 0.000)
Tl (0.498, 0.500, 0.720)
Te (0.497, 0.500, 0.340)
W (0.998, 0.000, 0.499)

#Q
Compound: Tl2TeW
Source: Alexandria via LeMat-Bulk
Functional: PBE-GGA
Structure: relaxed

Summary:
- Magnetization: 0.000 μB/cell

a b c (Å): 5.777 5.777 3.037
angles (deg): 90.00 90.00 110.16
Fractional positions:
Tl (0.000, 0.500, 0.000)
Tl (0.500, 0.000, 0.000)
Te (0.000, 0.000, 0.500)
W (0.500, 0.500, 0.500)

Least stable structure: #Q

#P
Compound: Tl3TeW
Source: Alexandria via LeMat-Bulk
Functional: PBE-GGA
Structure: relaxed

Summary:
- Magnetization: 4.866 μB/cell

a b c (Å): 6.122 6.122 6.122
angles (deg): 90.00 90.00 90.00
Fractional positions:
Tl (0.000, 0.000, 0.500)
Tl (0.000, 0.500, 0.000)
Tl (0.500, 0.000, 0.000)
Te (0.000, 0.000, 0.000)
W (0.500, 0.500, 0.500)

#Q
Compound: Tl3TeW
Source: Alexandria via LeMat-Bulk
Functional: PBE-GGA
Structure: relaxed

Summary:
- Magnetization: 3.101 μB/cell

a b c (Å): 5.506 5.506 5.506
angles (deg): 90.00 90.00 90.00
Fractional positions:
Tl (0.000, 0.000, 0.500)
Tl (0.000, 0.500, 0.000)
Tl (0.500, 0.000, 0.000)
Te (0.500, 0.500, 0.500)
W (0.000, 0.000, 0.000)

Least stable structure: #P

#P
Compound: YTl2Te
Source: Alexandria via LeMat-Bulk
Functional: PBE-GGA
Structure: relaxed

Summary:
- Magnetization: 0.000 μB/cell

a b c (Å): 6.779 6.779 4.457
angles (deg): 108.49 108.49 125.12
Fractional positions:
Y (0.000, 0.000, 0.000)
Tl (0.000, 0.500, 0.500)
Tl (0.500, 0.000, 0.500)
Te (0.500, 0.500, 0.000)

#Q
Compound: YTl2Te
Source: Alexandria via LeMat-Bulk
Functional: PBE-GGA
Structure: relaxed

Summary:
- Magnetization: 0.000 μB/cell

a b c (Å): 5.479 5.479 5.479
angles (deg): 60.00 60.00 60.00
Fractional positions:
Y (0.000, 0.000, 0.000)
Tl (0.500, 0.500, 0.500)
Tl (0.750, 0.750, 0.750)
Te (0.250, 0.250, 0.250)

Least stable structure: #Q